BaCrBrO2: optimized geometry, PBE with a Hubbard U.

Cell and atoms, written as POSCAR:
```
BaCrBrO2
1.0
4.154 0.000 0.000
0.000 7.932 -1.718
0.000 -2.084 7.645
Ba Cr Br O
2 2 2 4
direct
0.750 0.204 0.718
0.250 0.796 0.282
0.250 0.918 0.845
0.750 0.082 0.155
0.750 0.436 0.202
0.250 0.564 0.798
0.750 0.957 0.882
0.250 0.043 0.118
0.250 0.997 0.660
0.750 0.003 0.340
```

Summary:
For the total magnetization, the calculation gives 6.00 μB per cell. Its calculated total energy is -61.830 eV/cell.